No. 1
A plane-wave DFT calculation with PBE was carried out for Cr2FeRh after structural relaxation.

Unit cell a=2.568 b=2.568 c=8.078 alpha=90.00 beta=90.00 gamma=110.85
Site moments in Bohr magnetons follow the coordinates.
Element x y z (fractional)
Cr (0.000, 0.000, 0.014)  -0.07
Cr (0.500, 0.500, 0.245)  -0.13
Rh (0.500, 0.500, 0.753)  0.26
Fe (0.000, 0.000, 0.488)  2.49

Output
For the density of states at the Fermi level, the calculation gives 4.76 states/eV per cell. For the total energy, the calculation gives -34.6 eV for the cell shown. Its symmetry is No. 35. As for the theoretical density: 8766 kg/m³. For the volume, the calculation gives 49.8 Å³ per cell.

No. 2
A plane-wave DFT calculation with PBE was carried out for CrFe2Rh after structural relaxation.

Unit cell a=8.405 b=8.405 c=8.405 alpha=18.01 beta=18.01 gamma=18.01
Site moments in Bohr magnetons follow the coordinates.
Element x y z (fractional)
Rh (0.499, 0.499, 0.499)  0.35
Fe (0.002, 0.002, 0.002)  1.79
Fe (0.253, 0.253, 0.253)  2.63
Cr (0.746, 0.746, 0.746)  -0.98

Output
For the density of states at the Fermi level, the calculation gives 5.55 states/eV per cell. For the total energy, the calculation gives -33.4 eV for the cell shown. Its symmetry is No. 160. As for the theoretical density: 8927 kg/m³. For the volume, the calculation gives 49.6 Å³ per cell.

No. 3
A plane-wave DFT calculation with PBE was carried out for CrFe2Rh after structural relaxation.

Unit cell a=4.545 b=4.545 c=4.546 alpha=132.34 beta=132.37 gamma=69.65
Site moments in Bohr magnetons follow the coordinates.
Element x y z (fractional)
Cr (0.250, 0.750, 0.500)  -2.17
Fe (0.750, 0.250, 0.500)  2.48
Fe (0.000, 0.000, 0.000)  2.41
Rh (0.500, 0.500, 0.000)  0.31

Output
For the density of states at the Fermi level, the calculation gives 3.57 states/eV per cell. For the total energy, the calculation gives -34.0 eV for the cell shown. Its symmetry is No. 119. As for the theoretical density: 8800 kg/m³. For the volume, the calculation gives 50.3 Å³ per cell.

No. 4
A plane-wave DFT calculation with PBE was carried out for Cr2FeRh after structural relaxation.

Unit cell a=4.449 b=4.449 c=4.428 alpha=80.36 beta=80.36 gamma=33.83
Element x y z (fractional)
Rh (0.750, 0.750, 0.750)
Cr (0.997, 0.997, 0.018)
Cr (0.503, 0.503, 0.482)
Fe (0.250, 0.250, 0.250)

Output
For the density of states at the Fermi level, the calculation gives 4.51 states/eV per cell. For the total energy, the calculation gives -34.6 eV for the cell shown. Its symmetry is No. 12. As for the theoretical density: 9084 kg/m³. For the volume, the calculation gives 48.0 Å³ per cell.

No. 5
A plane-wave DFT calculation with PBE was carried out for Cr2FeRh after structural relaxation.

Unit cell a=4.177 b=4.177 c=4.177 alpha=60.00 beta=60.00 gamma=60.00
Site moments in Bohr magnetons follow the coordinates.
Element x y z (fractional)
Rh (0.750, 0.750, 0.750)  0.65
Cr (0.250, 0.250, 0.250)  -1.31
Cr (0.000, 0.000, 0.000)  2.28
Fe (0.500, 0.500, 0.500)  2.74

Output
For the density of states at the Fermi level, the calculation gives 4.75 states/eV per cell. For the total energy, the calculation gives -34.6 eV for the cell shown. Its symmetry is No. 216. As for the theoretical density: 8466 kg/m³. For the volume, the calculation gives 51.5 Å³ per cell.

No. 6
A plane-wave DFT calculation with PBE was carried out for Cr2FeRh after structural relaxation.

Unit cell a=2.721 b=4.365 c=5.303 alpha=53.46 beta=90.00 gamma=90.00
Site moments in Bohr magnetons follow the coordinates.
Element x y z (fractional)
Fe (0.500, 0.500, 0.500)  2.07
Cr (0.000, 0.000, 0.000)  -2.03
Cr (0.500, 0.500, 0.000)  1.69
Rh (0.000, 0.000, 0.500)  -0.01

Output
For the density of states at the Fermi level, the calculation gives 4.79 states/eV per cell. For the total energy, the calculation gives -34.6 eV for the cell shown. Its symmetry is No. 10. As for the theoretical density: 8621 kg/m³. For the volume, the calculation gives 50.6 Å³ per cell.

No. 7
A plane-wave DFT calculation with PBE was carried out for CrFe2Rh after structural relaxation.

Unit cell a=2.554 b=2.554 c=8.233 alpha=90.00 beta=90.00 gamma=111.73
Site moments in Bohr magnetons follow the coordinates.
Element x y z (fractional)
Cr (0.500, 0.500, 0.761)  -0.33
Fe (0.500, 0.500, 0.239)  2.69
Fe (0.000, 0.000, 0.997)  2.24
Rh (0.000, 0.000, 0.503)  0.18

Output
For the density of states at the Fermi level, the calculation gives 3.93 states/eV per cell. For the total energy, the calculation gives -33.4 eV for the cell shown. Its symmetry is No. 35. As for the theoretical density: 8871 kg/m³. For the volume, the calculation gives 49.9 Å³ per cell.

No. 8
A plane-wave DFT calculation with PBE was carried out for CrFe2Rh5 after structural relaxation.

Unit cell a=3.824 b=5.333 c=10.639 alpha=90.00 beta=90.00 gamma=90.00
Site moments in Bohr magnetons follow the coordinates.
Element x y z (fractional)
Rh (0.000, 0.000, 0.000)  0.28
Rh (0.000, 0.986, 0.746)  0.28
Rh (0.500, 0.766, 0.380)  0.31
Rh (0.000, 0.514, 0.246)  0.28
Rh (0.500, 0.266, 0.120)  0.31
Rh (0.000, 0.486, 0.754)  0.28
Rh (0.000, 0.014, 0.254)  0.28
Rh (0.500, 0.234, 0.620)  0.31
Rh (0.500, 0.734, 0.880)  0.31
Rh (0.000, 0.500, 0.500)  0.28
Cr (0.000, 0.500, 0.000)  -2.34
Cr (0.000, 0.000, 0.500)  -2.34
Fe (0.500, 0.760, 0.125)  2.90
Fe (0.500, 0.240, 0.875)  2.90
Fe (0.500, 0.740, 0.625)  2.90
Fe (0.500, 0.260, 0.375)  2.90

Output
For the density of states at the Fermi level, the calculation gives 16.53 states/eV per cell. For the total energy, the calculation gives -128.0 eV for the cell shown. Its symmetry is No. 55. As for the theoretical density: 10382 kg/m³. For the volume, the calculation gives 217.0 Å³ per cell.

No. 9
A plane-wave DFT calculation with PBE was carried out for Cr9Fe4Rh11 after structural relaxation.

Unit cell a=11.484 b=11.484 c=2.669 alpha=90.00 beta=90.00 gamma=116.07
Site moments in Bohr magnetons follow the coordinates.
Element x y z (fractional)
Rh (0.781, 0.781, 0.000)  0.15
Rh (0.595, 0.965, 0.000)  0.13
Rh (0.035, 0.405, 0.000)  0.13
Rh (0.965, 0.595, 0.000)  0.13
Rh (0.814, 0.186, 0.000)  0.05
Rh (0.620, 0.380, 0.000)  0.19
Rh (0.186, 0.814, 0.000)  0.05
Rh (0.405, 0.035, 0.000)  0.13
Rh (0.380, 0.620, 0.000)  0.19
Rh (0.000, 0.000, 0.000)  -0.01
Rh (0.219, 0.219, 0.000)  0.15
Fe (0.766, 0.583, 0.500)  2.41
Fe (0.234, 0.417, 0.500)  2.41
Fe (0.583, 0.766, 0.500)  2.41
Fe (0.417, 0.234, 0.500)  2.41
Cr (0.500, 0.500, 0.500)  -2.89
Cr (0.790, 0.977, 0.500)  -1.12
Cr (0.023, 0.210, 0.500)  -1.12
Cr (0.210, 0.023, 0.500)  -1.12
Cr (0.977, 0.790, 0.500)  -1.12
Cr (0.181, 0.615, 0.500)  -0.20
Cr (0.385, 0.819, 0.500)  -0.20
Cr (0.615, 0.181, 0.500)  -0.20
Cr (0.819, 0.385, 0.500)  -0.20

Output
For the density of states at the Fermi level, the calculation gives 27.35 states/eV per cell. For the total energy, the calculation gives -200.8 eV for the cell shown. Its symmetry is No. 65. As for the theoretical density: 9574 kg/m³. For the volume, the calculation gives 316.2 Å³ per cell.

No. 10
A plane-wave DFT calculation with PBE was carried out for CrFe2Rh after structural relaxation.

Unit cell a=4.472 b=4.472 c=4.475 alpha=79.35 beta=79.35 gamma=34.70
Site moments in Bohr magnetons follow the coordinates.
Element x y z (fractional)
Fe (0.998, 0.998, 0.002)  2.17
Fe (0.748, 0.748, 0.759)  2.34
Rh (0.502, 0.502, 0.500)  0.23
Cr (0.251, 0.251, 0.240)  -2.02

Output
For the density of states at the Fermi level, the calculation gives 4.68 states/eV per cell. For the total energy, the calculation gives -33.6 eV for the cell shown. Its symmetry is No. 8. As for the theoretical density: 8856 kg/m³. For the volume, the calculation gives 50.0 Å³ per cell.

No. 11
A plane-wave DFT calculation with PBE was carried out for Cr5FeRh6 after structural relaxation.

Unit cell a=3.790 b=7.028 c=7.028 alpha=108.06 beta=105.64 gamma=105.64
Site moments in Bohr magnetons follow the coordinates.
Element x y z (fractional)
Fe (0.000, 0.000, 0.000)  2.56
Rh (0.250, 0.084, 0.417)  0.07
Rh (0.250, 0.417, 0.084)  0.07
Rh (0.750, 0.583, 0.916)  0.07
Rh (0.249, 0.749, 0.749)  0.06
Rh (0.751, 0.251, 0.251)  0.06
Rh (0.750, 0.916, 0.583)  0.07
Cr (0.000, 0.337, 0.663)  1.45
Cr (0.500, 0.831, 0.169)  -1.84
Cr (0.000, 0.663, 0.337)  1.45
Cr (0.500, 0.500, 0.500)  -1.21
Cr (0.500, 0.169, 0.831)  -1.84

Output
For the density of states at the Fermi level, the calculation gives 12.60 states/eV per cell. For the total energy, the calculation gives -101.5 eV for the cell shown. Its symmetry is No. 71. As for the theoretical density: 9803 kg/m³. For the volume, the calculation gives 158.1 Å³ per cell.

No. 12
A plane-wave DFT calculation with PBE was carried out for Cr4Fe9Rh11 after structural relaxation.

Unit cell a=2.729 b=11.355 c=11.355 alpha=114.54 beta=90.00 gamma=90.00
Site moments in Bohr magnetons follow the coordinates.
Element x y z (fractional)
Rh (0.000, 0.000, 0.000)  0.48
Rh (0.000, 0.041, 0.404)  0.30
Rh (0.000, 0.596, 0.959)  0.30
Rh (0.000, 0.959, 0.596)  0.30
Rh (0.000, 0.811, 0.189)  0.48
Rh (0.000, 0.379, 0.621)  0.28
Rh (0.000, 0.777, 0.777)  0.21
Rh (0.000, 0.621, 0.379)  0.28
Rh (0.000, 0.404, 0.041)  0.30
Rh (0.000, 0.223, 0.223)  0.21
Rh (0.000, 0.189, 0.811)  0.48
Cr (0.500, 0.417, 0.238)  -1.97
Cr (0.500, 0.238, 0.417)  -1.97
Cr (0.500, 0.762, 0.583)  -1.97
Cr (0.500, 0.583, 0.762)  -1.97
Fe (0.500, 0.500, 0.500)  2.73
Fe (0.500, 0.798, 0.986)  2.73
Fe (0.500, 0.609, 0.173)  2.65
Fe (0.500, 0.986, 0.798)  2.73
Fe (0.500, 0.827, 0.391)  2.65
Fe (0.500, 0.202, 0.014)  2.73
Fe (0.500, 0.173, 0.609)  2.65
Fe (0.500, 0.391, 0.827)  2.65
Fe (0.500, 0.014, 0.202)  2.73

Output
For the density of states at the Fermi level, the calculation gives 27.01 states/eV per cell. For the total energy, the calculation gives -195.4 eV for the cell shown. Its symmetry is No. 65. As for the theoretical density: 9560 kg/m³. For the volume, the calculation gives 320.0 Å³ per cell.

Table of formation energy (meV/atom), in record order: 125, 114, -16, 119, 123, 104, 114, -86, 21, 66, -71, 7
Table of magnetic moment (μB/f.u.), in record order: 2.5, 3.7, 2.9, 0.0, 4.4, 1.7, 4.7, 4.7, 2.1, 2.6, 0.8, 19.3